No. 1
Computed, not measured: a relaxed BaAlW4 crystal at the PBE level of DFT.

calculated volume: 479.36 Å³ per cell
Fermi-level density of states: 1.0024 states/eV per atom
ΔE_f: 937.4 meV/atom

```
data_BaAlW4
_chemical_formula_sum 'Ba4 Al4 W16'
_space_group_name_H-M_alt 'F -4 3 m'
_space_group_IT_number 216
_space_group_name_Hall 'F -4 2 3'
_cell_length_a 7.826
_cell_length_b 7.826
_cell_length_c 7.826
_cell_angle_alpha 90.00
_cell_angle_beta 90.00
_cell_angle_gamma 90.00
loop_
_atom_site_label
_atom_site_fract_x
_atom_site_fract_y
_atom_site_fract_z
_atom_site_occupancy
Ba1 0.000 0.000 0.000 1
Al1 0.250 0.250 0.250 1
W1 0.125 0.125 0.625 1
```

***

No. 2
Computed, not measured: a relaxed Sm2SnO5 crystal at the PBE level of DFT.

calculated volume: 471.29 Å³ per cell
Fermi-level density of states: 0.0000 states/eV per atom
energy: -7.56 eV/atom

```
data_Sm2SnO5
_chemical_formula_sum 'Sm8 Sn4 O20'
_space_group_name_H-M_alt 'P n m a'
_space_group_IT_number 62
_cell_length_a 7.646
_cell_length_b 3.822
_cell_length_c 16.130
_cell_angle_alpha 90.00
_cell_angle_beta 90.00
_cell_angle_gamma 90.00
loop_
_space_group_symop_operation_xyz
'x,y,z'
'-x,-y,-z'
'-x+1/2,-y,z+1/2'
'x+1/2,y,-z+1/2'
'x+1/2,-y+1/2,-z+1/2'
'-x+1/2,y+1/2,z+1/2'
'-x,y+1/2,-z'
'x,-y+1/2,z'
loop_
_atom_site_label
_atom_site_fract_x
_atom_site_fract_y
_atom_site_fract_z
_atom_site_occupancy
Sm1 0.103 0.250 0.087 1
Sm2 0.133 0.250 0.741 1
Sn1 0.124 0.250 0.428 1
O1 0.088 0.750 0.653 1
O2 0.090 0.750 0.468 1
O3 0.106 0.750 0.177 1
O4 0.146 0.750 0.001 1
O5 0.199 0.750 0.830 1
```

***

No. 3
Computed, not measured: a relaxed FeSiPd crystal at the PBE level of DFT.

calculated volume: 80.39 Å³ per cell
Fermi-level density of states: 0.6959 states/eV per atom
energy: -6.69 eV/atom

```
data_FeSiPd
_chemical_formula_sum 'Fe2 Si2 Pd2'
_space_group_name_H-M_alt 'P m m n'
_space_group_IT_number 59
_cell_length_a 2.782
_cell_length_b 3.379
_cell_length_c 8.552
_cell_angle_alpha 90.00
_cell_angle_beta 90.00
_cell_angle_gamma 90.00
loop_
_space_group_symop_operation_xyz
'x,y,z'
'-x,-y,-z'
'-x+1/2,-y+1/2,z'
'x+1/2,y+1/2,-z'
'x+1/2,-y,-z'
'-x+1/2,y,z'
'-x,y+1/2,-z'
'x,-y+1/2,z'
loop_
_atom_site_label
_atom_site_fract_x
_atom_site_fract_y
_atom_site_fract_z
_atom_site_occupancy
Fe1 0.250 0.250 0.087 1
Si1 0.250 0.250 0.800 1
Pd1 0.250 0.750 0.610 1
```

***

No. 4
Computed, not measured: a relaxed CdW2Se crystal at the PBE level of DFT.

calculated volume: 140.65 Å³ per cell
energy above the most stable polymorph in this dataset: 421 meV/atom
Fermi-level density of states: 0.6405 states/eV per atom

```
data_CdW2Se
_chemical_formula_sum 'Cd2 W4 Se2'
_space_group_name_H-M_alt 'C 1 2/m 1'
_space_group_IT_number 12
_cell_length_a 9.566
_cell_length_b 3.116
_cell_length_c 4.802
_cell_angle_alpha 90.00
_cell_angle_beta 100.75
_cell_angle_gamma 90.00
loop_
_space_group_symop_operation_xyz
'x,y,z'
'-x,-y,-z'
'-x,y,-z'
'x,-y,z'
'x+1/2,y+1/2,z'
'-x+1/2,-y+1/2,-z'
'-x+1/2,y+1/2,-z'
'x+1/2,-y+1/2,z'
loop_
_atom_site_label
_atom_site_fract_x
_atom_site_fract_y
_atom_site_fract_z
_atom_site_occupancy
Cd1 0.000 0.000 0.000 1
W1 0.245 0.000 0.738 1
Se1 0.000 0.500 0.500 1
```

***

No. 5
Computed, not measured: a relaxed Ag3As crystal at the PBE level of DFT.

calculated volume: 146.74 Å³ per cell
Fermi-level density of states: 0.2267 states/eV per atom
ΔE_f: 104.7 meV/atom

```
data_Ag3As
_chemical_formula_sum 'Ag6 As2'
_space_group_name_H-M_alt 'I m m 2'
_space_group_IT_number 44
_cell_length_a 3.017
_cell_length_b 9.529
_cell_length_c 5.104
_cell_angle_alpha 90.00
_cell_angle_beta 90.00
_cell_angle_gamma 90.00
loop_
_space_group_symop_operation_xyz
'x,y,z'
'-x,-y,z'
'-x,y,z'
'x,-y,z'
'x+1/2,y+1/2,z+1/2'
'-x+1/2,-y+1/2,z+1/2'
'-x+1/2,y+1/2,z+1/2'
'x+1/2,-y+1/2,z+1/2'
loop_
_atom_site_label
_atom_site_fract_x
_atom_site_fract_y
_atom_site_fract_z
_atom_site_occupancy
Ag1 0.000 0.000 0.000 1
Ag2 0.000 0.246 0.653 1
As1 0.000 0.500 0.989 1
```

***

No. 6
Computed, not measured: a relaxed Co2TcGe4 crystal at the PBE level of DFT.

calculated volume: 258.76 Å³ per cell
energy above the most stable polymorph in this dataset: 562 meV/atom
Fermi-level density of states: 0.9948 states/eV per atom
ΔE_f: 475.6 meV/atom

```
data_Co2TcGe4
_chemical_formula_sum 'Co4 Tc2 Ge8'
_space_group_name_H-M_alt 'I 4/m m m'
_space_group_IT_number 139
_space_group_name_Hall '-I 4 2'
_cell_length_a 4.699
_cell_length_b 4.699
_cell_length_c 11.718
_cell_angle_alpha 90.00
_cell_angle_beta 90.00
_cell_angle_gamma 90.00
loop_
_atom_site_label
_atom_site_fract_x
_atom_site_fract_y
_atom_site_fract_z
_atom_site_occupancy
Co1 0.000 0.000 0.099 1
Tc1 0.000 0.000 0.500 1
Ge1 0.000 0.000 0.290 1
Ge2 0.000 0.500 0.000 1
```

***

No. 7
Computed, not measured: a relaxed MgTeO crystal at the PBE level of DFT.

calculated volume: 256.08 Å³ per cell
Fermi-level density of states: 0.2714 states/eV per atom
energy: -4.71 eV/atom

```
data_MgTeO
_chemical_formula_sum 'Mg4 Te4 O4'
_space_group_name_H-M_alt 'C m m m'
_space_group_IT_number 65
_space_group_name_Hall '-C 2 2'
_cell_length_a 5.632
_cell_length_b 15.424
_cell_length_c 2.948
_cell_angle_alpha 90.00
_cell_angle_beta 90.00
_cell_angle_gamma 90.00
loop_
_atom_site_label
_atom_site_fract_x
_atom_site_fract_y
_atom_site_fract_z
_atom_site_occupancy
Mg1 0.000 0.000 0.000 1
Mg2 0.000 0.500 0.000 1
Te1 0.000 0.218 0.000 1
O1 0.249 0.500 0.500 1
```

***

No. 8
Computed, not measured: a relaxed La12Tl3Sn crystal at the PBE level of DFT.

calculated volume: 518.49 Å³ per cell
Fermi-level density of states: 1.5208 states/eV per atom
ΔE_f: -306.3 meV/atom

```
data_La12Tl3Sn
_chemical_formula_sum 'La12 Tl3 Sn1'
_space_group_name_H-M_alt 'P 4/m m m'
_space_group_IT_number 123
_space_group_name_Hall '-P 4 2'
_cell_length_a 5.066
_cell_length_b 5.066
_cell_length_c 20.202
_cell_angle_alpha 90.00
_cell_angle_beta 90.00
_cell_angle_gamma 90.00
loop_
_atom_site_label
_atom_site_fract_x
_atom_site_fract_y
_atom_site_fract_z
_atom_site_occupancy
La1 0.000 0.000 0.000 1
La2 0.000 0.000 0.250 1
La3 0.000 0.000 0.500 1
La4 0.000 0.500 0.122 1
La5 0.000 0.500 0.374 1
Tl1 0.500 0.500 0.249 1
Tl2 0.500 0.500 0.500 1
Sn1 0.500 0.500 0.000 1
```

***

no.,density (g cm⁻³)
1,12.47
2,7.04
3,7.86
4,13.20
5,9.02
6,6.50
7,4.36
8,7.68